# AgAu2Br6

A relaxed structure of AgAu2Br6 (GGA-PBE, the Alexandria database).

Values from the calculation:
- Total magnetization: 0.0 μB per formula unit
- Space group: C2/c
- Offset from the most stable computed form: 0.000 eV/atom
- Formation energy (no corrections): -0.136 eV/atom

Lattice parameters (Å, degrees): 9.689 9.689 7.051 98.68 98.68 85.68
Element x y z (fractional)
Ag (0.165, 0.835, 0.750)
Ag (0.835, 0.165, 0.250)
Au (0.175, 0.334, 0.382)
Au (0.334, 0.175, 0.882)
Au (0.666, 0.825, 0.118)
Au (0.825, 0.666, 0.618)
Br (0.000, 0.302, 0.076)
Br (0.000, 0.698, 0.924)
Br (0.016, 0.699, 0.422)
Br (0.301, 0.984, 0.078)
Br (0.302, 0.000, 0.576)
Br (0.360, 0.374, 0.687)
Br (0.374, 0.360, 0.187)
Br (0.626, 0.640, 0.813)
Br (0.640, 0.626, 0.313)
Br (0.698, 0.000, 0.424)
Br (0.699, 0.016, 0.922)
Br (0.984, 0.301, 0.578)

# CdMo3S

A relaxed structure of CdMo3S (GGA-PBE, the Alexandria database).

Values from the calculation:
- Total magnetization: 0.0 μB per formula unit
- Space group: Pm-3m
- Offset from the most stable computed form: 2.335 eV/atom
- Formation energy (no corrections): 2.783 eV/atom

Lattice parameters (Å, degrees): 4.895 4.895 4.895 90.00 90.00 90.00
Element x y z (fractional)
Cd (0.000, 0.000, 0.000)
Mo (0.000, 0.000, 0.500)
Mo (0.000, 0.500, 0.000)
Mo (0.500, 0.000, 0.000)
S (0.500, 0.500, 0.500)

# La8SmMg2

A relaxed structure of La8SmMg2 (GGA-PBE, the Alexandria database).

Values from the calculation:
- Total magnetization: 0.0 μB per formula unit
- Space group: C2/m
- Formation energy: 0.09 eV/atom
- Offset from the most stable computed form: 0.091 eV/atom

Lattice parameters (Å, degrees): 9.319 9.319 6.004 103.85 103.85 121.54
Element x y z (fractional)
La (0.095, 0.329, 0.653)
La (0.209, 0.791, 0.000)
La (0.329, 0.095, 0.653)
La (0.416, 0.416, 0.206)
La (0.584, 0.584, 0.794)
La (0.671, 0.905, 0.347)
La (0.791, 0.209, 0.000)
La (0.905, 0.671, 0.347)
Sm (0.000, 0.000, 0.000)
Mg (0.308, 0.692, 0.500)
Mg (0.692, 0.308, 0.500)